[1]
First-principles (PBE-GGA) data for a geometry-optimized AcTb12Pm3 structure, as listed in Alexandria via LeMat-Bulk. Values from VASP.

Geometry as Quantum ESPRESSO input:
```
&SYSTEM
  ibrav = 0, nat = 16, ntyp = 3
/
ATOMIC_SPECIES
Tb 158.93 Tb.upf
Pm 145.00 Pm.upf
Ac 227.00 Ac.upf
CELL_PARAMETERS angstrom
-1.3365 1.0187 4.8101
-0.3899 -4.9909 0.9487
19.6072 -0.4772 5.5488
ATOMIC_POSITIONS crystal
Tb 0.5000 0.0000 0.8705
Tb 0.0000 0.5000 0.1295
Tb 0.5000 0.5000 0.0000
Tb 0.5000 0.5000 0.2531
Tb 0.0000 0.5000 0.6236
Tb 0.5000 0.0000 0.3764
Tb 0.0000 0.5000 0.8705
Tb 0.5000 0.5000 0.7469
Tb 0.5000 0.0000 0.1295
Tb 0.5000 0.5000 0.5000
Tb 0.5000 0.0000 0.6236
Tb 0.0000 0.5000 0.3764
Pm 0.0000 0.0000 0.7480
Pm 0.0000 0.0000 0.5000
Pm 0.0000 0.0000 0.2520
Ac 0.0000 0.0000 0.0000
```

---

[2]
First-principles (PBE-GGA) data for a geometry-optimized AcTb2Pm6 structure, as listed in Alexandria via LeMat-Bulk. Values from VASP.

Output
Polymorph energy (0 for the lowest one) = 46 kJ/mol of formula units

Geometry as Quantum ESPRESSO input:
```
&SYSTEM
  ibrav = 0, nat = 9, ntyp = 3
/
ATOMIC_SPECIES
Pm 145.00 Pm.upf
Tb 158.93 Tb.upf
Ac 227.00 Ac.upf
CELL_PARAMETERS angstrom
3.6766 0.0000 0.0000
-1.8383 3.1840 0.0000
0.0000 0.0000 27.2418
ATOMIC_POSITIONS crystal
Pm 0.3333 0.6667 0.2242
Pm 0.3333 0.6667 0.4351
Pm 0.3333 0.6667 0.5649
Pm 0.6667 0.3333 0.8831
Pm 0.6667 0.3333 0.1169
Pm 0.3333 0.6667 0.7758
Tb 0.6667 0.3333 0.6677
Tb 0.6667 0.3333 0.3323
Ac 0.3333 0.6667 0.0000
```

---

[3]
First-principles (PBE-GGA) data for a geometry-optimized Ac2Tb12Pm5 structure, as listed in Alexandria via LeMat-Bulk. Values from VASP.

Output
Polymorph energy (0 for the lowest one) = 0 kJ/mol of formula units

Geometry as Quantum ESPRESSO input:
```
&SYSTEM
  ibrav = 0, nat = 19, ntyp = 3
/
ATOMIC_SPECIES
Pm 145.00 Pm.upf
Tb 158.93 Tb.upf
Ac 227.00 Ac.upf
CELL_PARAMETERS angstrom
-8.9979 -2.0416 -1.8524
6.4438 -0.6139 -6.7193
1.4072 -8.2814 2.2918
ATOMIC_POSITIONS crystal
Pm 0.7673 0.5346 0.4221
Pm 0.2327 0.4654 0.5779
Pm 0.0000 0.0000 0.5000
Pm 0.3024 0.6049 0.9935
Pm 0.6976 0.3951 0.0065
Tb 0.4346 0.2480 0.6470
Tb 0.6612 0.6817 0.7515
Tb 0.0206 0.6817 0.7515
Tb 0.5654 0.7520 0.3530
Tb 0.9794 0.3183 0.2485
Tb 0.1866 0.7520 0.3530
Tb 0.5601 0.1201 0.3299
Tb 0.8134 0.2480 0.6470
Tb 0.0982 0.1963 0.8828
Tb 0.9018 0.8037 0.1172
Tb 0.4399 0.8799 0.6701
Tb 0.3388 0.3183 0.2485
Ac 0.6933 0.0000 0.0000
Ac 0.3067 0.0000 0.0000
```

---

[4]
First-principles (PBE-GGA) data for a geometry-optimized Ac4Tb5Pm2 structure, as listed in Alexandria via LeMat-Bulk. Values from VASP.

Geometry as Quantum ESPRESSO input:
```
&SYSTEM
  ibrav = 0, nat = 11, ntyp = 3
/
ATOMIC_SPECIES
Tb 158.93 Tb.upf
Pm 145.00 Pm.upf
Ac 227.00 Ac.upf
CELL_PARAMETERS angstrom
-1.2623 -5.0928 -0.9239
7.5086 -1.2816 -3.1943
-1.6727 1.1849 11.1144
ATOMIC_POSITIONS crystal
Tb 0.2262 0.8272 0.4524
Tb 0.5000 0.0000 0.0000
Tb 0.7738 0.1728 0.5476
Tb 0.8604 0.9143 0.7207
Tb 0.1396 0.0857 0.2793
Pm 0.5930 0.7369 0.1859
Pm 0.4070 0.2631 0.8141
Ac 0.6820 0.4522 0.3641
Ac 0.0437 0.3566 0.0874
Ac 0.9563 0.6434 0.9126
Ac 0.3180 0.5478 0.6359
```

---

no.,formation enthalpy at 0 K (meV per atom)
1,26
2,69
3,153
4,52